*i*
## LaZr2Cd2 (GGA-PBE)

Data for a geometry-optimized LaZr2Cd2 structure.

Cell lengths 8.6752, 8.6752, 3.3288 Å; angles 90.00, 90.00, 90.00 degrees
Space group P4/mbm (No. 127)
Inequivalent atoms, fractional coordinates:
La 0.0000 0.0000 0.0000
Zr 0.1730 0.3270 0.5000
Cd 0.1229 0.6229 0.0000

Output
Size of the total moment (μB per formula unit): 0.00

---

*ii*
## LaZr2Cd2 (GGA-PBE)

Data for a geometry-optimized LaZr2Cd2 structure.

Cell lengths 8.9061, 8.9061, 3.1287 Å; angles 90.00, 90.00, 90.00 degrees
Space group P4/mbm (No. 127)
Inequivalent atoms, fractional coordinates:
La 0.0000 0.0000 0.0000
Zr 0.1199 0.3801 0.0000
Cd 0.1753 0.6753 0.5000

Output
Size of the total moment (μB per formula unit): 0.00

---

Which of them is the least stable? Correct choice: *i*.

---

*i*
## Li5Cd3 (GGA-PBE)

Data for a geometry-optimized Li5Cd3 structure.

Cell lengths 4.1422, 4.1422, 17.3377 Å; angles 90.00, 90.00, 90.00 degrees
Space group I-4m2 (No. 119)
Inequivalent atoms, fractional coordinates:
Li 0.0000 0.0000 0.0000
Li 0.0000 0.0000 0.2495
Li 0.0000 0.5000 0.1224
Cd 0.0000 0.0000 0.5000
Cd 0.0000 0.5000 0.6293

Output
Size of the total moment (μB per formula unit): 0.00

---

*ii*
## Li5Cd3 (GGA-PBE)

Data for a geometry-optimized Li5Cd3 structure.

Cell lengths 6.8282, 9.2047, 4.6256 Å; angles 90.00, 90.00, 90.00 degrees
Space group Cmmm (No. 65)
Inequivalent atoms, fractional coordinates:
Li 0.0000 0.0000 0.0000
Li 0.2493 0.0000 0.5000
Li 0.2500 0.2500 0.0000
Cd 0.0000 0.2507 0.5000
Cd 0.0000 0.5000 0.0000

Output
Size of the total moment (μB per formula unit): 0.00

---

Which of them is the least stable? Correct choice: *i*.

---

*i*
## LiCd4 (GGA-PBE)

Data for a geometry-optimized LiCd4 structure.

Cell lengths 4.9701, 4.9701, 4.9701 Å; angles 90.00, 90.00, 90.00 degrees
Space group Pm-3m (No. 221)
Inequivalent atoms, fractional coordinates:
Li 0.0000 0.0000 0.0000
Cd 0.0000 0.0000 0.5000
Cd 0.5000 0.5000 0.5000

Output
Size of the total moment (μB per formula unit): 0.00

---

*ii*
## LiCd4 (GGA-PBE)

Data for a geometry-optimized LiCd4 structure.

Cell lengths 4.1096, 4.1096, 14.4131 Å; angles 90.00, 90.00, 90.00 degrees
Space group I4/mmm (No. 139)
Inequivalent atoms, fractional coordinates:
Li 0.0000 0.0000 0.0000
Cd 0.0000 0.0000 0.4044
Cd 0.0000 0.5000 0.2500

Output
Size of the total moment (μB per formula unit): 0.00

---

Which of them is the least stable? Correct choice: *i*.

---

*i*
## LiCd4 (GGA-PBE)

Data for a geometry-optimized LiCd4 structure.

Cell lengths 6.2235, 6.2235, 6.2235 Å; angles 90.00, 90.00, 90.00 degrees
Space group Im-3m (No. 229)
Inequivalent atoms, fractional coordinates:
Li 0.0000 0.0000 0.0000
Cd 0.2500 0.2500 0.2500

Output
Size of the total moment (μB per formula unit): 0.00

---

*ii*
## LiCd4 (GGA-PBE)

Data for a geometry-optimized LiCd4 structure.

Cell lengths 6.2010, 6.2010, 11.6330 Å; angles 90.00, 90.00, 90.00 degrees
Space group I4_1/a (No. 88, origin choice 2)
Inequivalent atoms, fractional coordinates:
Li 0.0000 0.2500 0.1250
Cd 0.1691 0.0256 0.7054

Output
Size of the total moment (μB per formula unit): 0.00

---

*iii*
## LiCd4 (GGA-PBE)

Data for a geometry-optimized LiCd4 structure.

Cell lengths 3.7645, 3.7645, 15.1055 Å; angles 90.00, 90.00, 90.00 degrees
Space group I4/mmm (No. 139)
Inequivalent atoms, fractional coordinates:
Li 0.0000 0.0000 0.0000
Cd 0.0000 0.0000 0.1959
Cd 0.0000 0.0000 0.4041

Output
Size of the total moment (μB per formula unit): 0.00

---

Which of them is the least stable? Correct choice: *i*.

---

*i*
## LiLuCd2 (GGA-PBE)

Data for a geometry-optimized LiLuCd2 structure.

Cell lengths 7.0490, 7.0490, 7.0490 Å; angles 90.00, 90.00, 90.00 degrees
Space group Fm-3m (No. 225)
Inequivalent atoms, fractional coordinates:
Li 0.0000 0.0000 0.0000
Lu 0.0000 0.0000 0.5000
Cd 0.2500 0.2500 0.2500

Output
Size of the total moment (μB per formula unit): 0.00

---

*ii*
## LiLuCd2 (GGA-PBE)

Data for a geometry-optimized LiLuCd2 structure.

Cell lengths 3.3838, 3.3838, 7.5099 Å; angles 90.00, 90.00, 90.00 degrees
Space group P4/mmm (No. 123)
Inequivalent atoms, fractional coordinates:
Li 0.0000 0.0000 0.0000
Lu 0.0000 0.0000 0.5000
Cd 0.5000 0.5000 0.2155

Output
Size of the total moment (μB per formula unit): 0.00

---

Which of them is the least stable? Correct choice: *i*.

---

*i*
## Li2LuCd (GGA-PBE)

Data for a geometry-optimized Li2LuCd structure.

Cell lengths 4.4213, 4.4213, 4.6171 Å; angles 90.00, 90.00, 90.00 degrees
Space group P4/mmm (No. 123)
Inequivalent atoms, fractional coordinates:
Li 0.0000 0.5000 0.0000
Lu 0.0000 0.0000 0.5000
Cd 0.5000 0.5000 0.5000

Output
Size of the total moment (μB per formula unit): 0.00

---

*ii*
## Li2LuCd (GGA-PBE)

Data for a geometry-optimized Li2LuCd structure.

Cell lengths 6.8250, 6.8250, 6.8250 Å; angles 90.00, 90.00, 90.00 degrees
Space group Fm-3m (No. 225)
Inequivalent atoms, fractional coordinates:
Li 0.2500 0.2500 0.2500
Lu 0.0000 0.0000 0.0000
Cd 0.0000 0.0000 0.5000

Output
Size of the total moment (μB per formula unit): 0.02

---

Which of them is the least stable? Correct choice: *i*.